AsRhCl | PBE | relaxed

abc: 3.1118 3.1118 11.4395
angles: 90.00 90.00 90.00
With the nearest neighbours (Å) after each atom.
Space group I4mm (No. 107)
Inequivalent atoms, fractional coordinates:
As  0.0000  0.0000  0.0000  4 Rh 2.55
Rh  0.0000  0.0000  0.6128  4 As 2.55, 4 Cl 2.83
Cl  0.0000  0.0000  0.2678  4 Rh 2.83, 1 As 3.06, 4 Cl 3.11

As for the volume: 110.8 Å³/cell. For the excess energy over the best structure of this formula in the dataset, the calculation gives 69 kJ/mol of formula units. The energy relative to the elements, uncorrected comes out at -0.095 eV/atom. The calculation puts the density of states at the Fermi level at 2.4 states/eV/f.u.

As2RhCl | PBE | relaxed

abc: 3.7693 3.7693 5.0194
angles: 90.00 90.00 90.00
With the nearest neighbours (Å) after each atom.
Space group P4/mmm (No. 123)
Inequivalent atoms, fractional coordinates:
As  0.0000  0.5000  0.0000  4 As 2.67
Rh  0.0000  0.0000  0.5000  4 Cl 2.67
Cl  0.5000  0.5000  0.5000  4 Rh 2.67

As for the volume: 71.3 Å³/cell. For the excess energy over the best structure of this formula in the dataset, the calculation gives 267 kJ/mol of formula units. The energy relative to the elements, uncorrected comes out at 0.401 eV/atom. The calculation puts the density of states at the Fermi level at 2.7 states/eV/f.u.